Entry 1
Below is crystalline Sc2PaGa at its relaxed geometry, with properties calculated at the PBE-GGA level.

a b c (Å): 3.2131 3.2131 29.7974
angles (deg): 90.00 90.00 120.00
With the nearest neighbours (Å) after each atom.
Space group R3m (No. 160, hexagonal axes)
Unique sites:
Sc 0.0000 0.0000 0.0000 (multiplicity 3)  3 Ga 2.92, 6 Sc 3.21
Sc 0.0000 0.0000 0.1816 (multiplicity 3)  3 Ga 2.93, 6 Sc 3.21
Pa 0.0000 0.0000 0.7573 (multiplicity 3)  6 Pa 3.21, 6 Sc 3.28
Ga 0.0000 0.0000 0.5910 (multiplicity 3)  6 Sc 2.92-2.93, 6 Ga 3.21

=====

Entry 2
Below is crystalline Sc2PaGa at its relaxed geometry, with properties calculated at the PBE-GGA level.

a b c (Å): 3.1956 3.1956 8.5337
angles (deg): 90.00 90.00 90.00
With the nearest neighbours (Å) after each atom.
Space group P4/mmm (No. 123)
Unique sites:
Sc 0.0000 0.0000 0.2179 (multiplicity 2)  4 Ga 2.93, 4 Sc 3.20
Pa 0.5000 0.5000 0.5000 (multiplicity 1)  4 Pa 3.20, 8 Sc 3.30
Ga 0.5000 0.5000 0.0000 (multiplicity 1)  8 Sc 2.93, 4 Ga 3.20

=====

Which is most stable, and by how much? entry 2, by 66 meV/atom.

=====

Entry 1
Below is crystalline Sc2PaGa at its relaxed geometry, with properties calculated at the PBE-GGA level.

a b c (Å): 4.5213 4.5213 4.2441
angles (deg): 90.00 90.00 90.00
With the nearest neighbours (Å) after each atom.
Space group P4/mmm (No. 123)
Unique sites:
Sc 0.0000 0.5000 0.0000 (multiplicity 2)  4 Pa 3.10, 4 Ga 3.10, 4 Sc 3.20
Pa 0.0000 0.0000 0.5000 (multiplicity 1)  8 Sc 3.10, 4 Ga 3.20
Ga 0.5000 0.5000 0.5000 (multiplicity 1)  8 Sc 3.10, 4 Pa 3.20

=====

Entry 2
Below is crystalline Sc2PaGa at its relaxed geometry, with properties calculated at the PBE-GGA level.

a b c (Å): 7.0023 7.0023 7.0023
angles (deg): 90.00 90.00 90.00
With the nearest neighbours (Å) after each atom.
Space group Fm-3m (No. 225)
Unique sites:
Sc 0.2500 0.2500 0.2500 (multiplicity 8)  4 Pa 3.03, 4 Ga 3.03
Pa 0.0000 0.0000 0.0000 (multiplicity 4)  8 Sc 3.03
Ga 0.0000 0.0000 0.5000 (multiplicity 4)  8 Sc 3.03

=====

Which is most stable, and by how much? entry 1, by 170 meV/atom.

=====

Entry 1
Below is crystalline Sc2PaGa6 at its relaxed geometry, with properties calculated at the PBE-GGA level.

a b c (Å): 4.1260 6.8484 12.8550
angles (deg): 90.00 90.00 90.00
With the nearest neighbours (Å) after each atom.
Space group Immm (No. 71)
Unique sites:
Sc 0.0000 0.0000 0.1201 (multiplicity 4)  10 Ga 2.81-3.06, 1 Sc 3.09
Pa 0.0000 0.5000 0.0000 (multiplicity 2)  4 Ga 2.99
Ga 0.0000 0.1964 0.3116 (multiplicity 8)  4 Ga 2.55-2.70, 1 Sc 2.81
Ga 0.0000 0.3151 0.5000 (multiplicity 4)  3 Ga 2.53-2.55

=====

Entry 2
Below is crystalline Sc2PaGa6 at its relaxed geometry, with properties calculated at the PBE-GGA level.

a b c (Å): 7.7418 7.7418 3.2552
angles (deg): 90.00 90.00 120.00
With the nearest neighbours (Å) after each atom.
Space group P6/mmm (No. 191)
Unique sites:
Sc 0.3333 0.6667 0.0000 (multiplicity 2)  12 Ga 3.03, 2 Sc 3.26
Pa 0.0000 0.0000 0.0000 (multiplicity 1)  12 Ga 3.08, 2 Pa 3.26
Ga 0.0000 0.3384 0.5000 (multiplicity 6)  3 Ga 2.50-2.62

=====

Which is most stable, and by how much? entry 2, by 133 meV/atom.

=====

Entry 1
Below is crystalline ScPaGaTc at its relaxed geometry, with properties calculated at the PBE-GGA level.

a b c (Å): 3.3008 3.3008 7.2846
angles (deg): 90.00 90.00 90.00
With the nearest neighbours (Å) after each atom.
Space group P4mm (No. 99)
Unique sites:
Sc 0.0000 0.0000 0.0000 (multiplicity 1)  4 Tc 2.83, 4 Ga 2.93
Pa 0.0000 0.0000 0.4545 (multiplicity 1)  4 Tc 2.89, 4 Ga 3.21
Ga 0.5000 0.5000 0.7573 (multiplicity 1)  4 Sc 2.93, 4 Pa 3.21
Tc 0.5000 0.5000 0.2199 (multiplicity 1)  4 Sc 2.83, 4 Pa 2.89

=====

Entry 2
Below is crystalline ScPaGaTc at its relaxed geometry, with properties calculated at the PBE-GGA level.

a b c (Å): 6.8235 6.8235 6.8235
angles (deg): 90.00 90.00 90.00
With the nearest neighbours (Å) after each atom.
Space group F-43m (No. 216)
Unique sites:
Sc 0.0000 0.0000 0.0000 (multiplicity 4)  4 Tc 2.95, 4 Ga 2.95
Pa 0.0000 0.0000 0.5000 (multiplicity 4)  4 Ga 2.95, 4 Tc 2.95
Ga 0.2500 0.2500 0.2500 (multiplicity 4)  4 Pa 2.95, 4 Sc 2.95
Tc 0.2500 0.2500 0.7500 (multiplicity 4)  4 Pa 2.95, 4 Sc 2.95

=====

Which is most stable, and by how much? entry 1, by 142 meV/atom.